# 1
BaNb2CdN | PBE | relaxed

Values from the calculation:
Density in Mg/m³: 5.841
Total magnetization in Bohr magnetons per cell: 3.53
Energy relative to the elements, uncorrected in meV per atom: 1954

a = 5.459 Å, b = 4.288 Å, c = 5.459 Å
α = 90.00°, β = 90.00°, γ = 90.00°
Fractional coordinates of all 5 atoms:
N 0.000 0.500 0.000
Nb 0.500 0.000 0.000
Nb 0.000 0.000 0.500
Ba 0.500 0.500 0.500
Cd 0.000 0.000 0.000


# 2
TeH | PBE | relaxed

Values from the calculation:
Energy above the most stable polymorph in this dataset in meV/atom: 87
Density in Mg/m³: 4.752
Total magnetization in Bohr magnetons per cell: 0.00

a = 4.054 Å, b = 4.604 Å, c = 14.445 Å
α = 90.00°, β = 90.00°, γ = 90.00°
Fractional coordinates of all 12 atoms:
H 0.000 0.543 0.591
H 0.500 0.457 0.091
H 0.500 0.313 0.500
H 0.000 0.543 0.409
H 0.000 0.687 0.000
H 0.500 0.457 0.909
Te 0.000 0.748 0.259
Te 0.500 0.252 0.759
Te 0.000 0.748 0.741
Te 0.000 0.284 0.500
Te 0.500 0.252 0.241
Te 0.500 0.716 0.000


Question: total magnetization of number 2 (TeH)?
Answer: 0.00 Bohr magnetons per cell


Question: Among the records above, which one has the highest density?
Answer: BaNb2CdN


Question: Look up the total magnetization of the second one.
Answer: 0.00 Bohr magnetons per cell